IrS2Br | PBE-GGA | optimized geometry

Unit cell a=3.6659 b=7.0283 c=9.3463 alpha=123.27 beta=78.44 gamma=92.96
Last column: nearest neighbours and their distance in Å.
Element x y z (fractional)
S 0.2307 0.9687 0.6554  1 S 2.05
S 0.3626 0.2160 0.4675  2 Ir 2.33-2.42
S 0.5727 0.6924 0.4503  1 S 2.05, 1 Ir 2.23
S 0.0453 0.8124 0.2307  3 Ir 2.36-2.41
Ir 0.8263 0.0677 0.5393  6 S 2.33-2.48
Ir 0.5410 0.5644 0.1757  3 S 2.23-2.41
Br 0.0451 0.2662 0.1042  2 Ir 2.57-2.59
Br 0.6846 0.4751 0.8627  2 Ir 2.58-2.76

Computed properties:
Its space group is No. 1. The value obtained for the density is 5.68 g cm⁻³. The total energy is -4.85 eV per atom. As for the uncorrected formation energy: -0.1555 eV/atom.